VASP calculation (PBE-GGA) on a relaxed CeErAgBi crystal.

a b c (Å): 5.3636 5.3636 5.3636
angles (deg): 60.00 60.00 60.00
Fractional positions:
1 Ce 0.0000 0.0000 0.0000
2 Er 0.5000 0.5000 0.5000
3 Ag 0.2500 0.2500 0.2500
4 Bi 0.7500 0.7500 0.7500

Calculated values
ΔH_f (0 K) ... -0.361 eV/atom
Calculated volume ... 109.11 Å³/f.u.
Total moment ... 2.25 μB/cell
Density of states at the Fermi level ... 9.83 states/eV per cell
Uncorrected energy ... -4.67 eV per atom
Space-group type ... No. 216